# 1
! Li2Ce3S6 (PBE, optimized geometry); values from VASP
! Uncorrected formation energy: -1.745 eV per atom
! Symmetry: No. 12
&SYSTEM
  ibrav = 0, nat = 11, ntyp = 3
/
ATOMIC_SPECIES
S 32.06 S.upf
Li 6.94 Li.upf
Ce 140.12 Ce.upf
CELL_PARAMETERS angstrom
6.827 0.000 2.017
3.414 6.168 1.009
0.539 0.000 6.454
ATOMIC_POSITIONS crystal
S 0.758 0.000 0.752
S 0.414 0.657 0.755
S 0.071 0.343 0.755
Li 0.170 0.660 0.500
Ce 0.000 0.000 0.000
Ce 0.664 0.672 0.000
Li 0.830 0.340 0.500
S 0.242 0.000 0.248
S 0.929 0.657 0.245
S 0.586 0.343 0.245
Ce 0.336 0.328 0.000



# 2
! CsAgAsSe2 (PBE, optimized geometry); values from VASP
! Uncorrected formation energy: 0.098 eV per atom
! Symmetry: No. 123
! Excess energy over the best structure of this formula in the dataset: 0.3748 eV per atom
&SYSTEM
  ibrav = 0, nat = 5, ntyp = 4
/
ATOMIC_SPECIES
Cs 132.91 Cs.upf
Se 78.96 Se.upf
Ag 107.87 Ag.upf
As 74.92 As.upf
CELL_PARAMETERS angstrom
5.420 0.000 0.000
0.000 5.420 0.000
0.000 0.000 5.034
ATOMIC_POSITIONS crystal
Cs 0.500 0.500 0.500
Se 0.000 0.500 0.000
Ag 0.000 0.000 0.000
Se 0.500 0.000 0.000
As 0.000 0.000 0.500



# 3
! CeNdGd (PBE, optimized geometry); values from VASP
! Symmetry: No. 156
! Excess energy over the best structure of this formula in the dataset: 0.0000 eV per atom
! Energy relative to the elements: 6.8 kJ per mole of atoms
&SYSTEM
  ibrav = 0, nat = 3, ntyp = 3
/
ATOMIC_SPECIES
Ce 140.12 Ce.upf
Gd 157.25 Gd.upf
Nd 144.24 Nd.upf
CELL_PARAMETERS angstrom
3.562 0.000 0.000
-1.781 3.085 0.000
0.000 0.000 8.740
ATOMIC_POSITIONS crystal
Ce 0.333 0.667 0.664
Gd 0.667 0.333 0.344
Nd 0.000 0.000 0.992



Number 1: total magnetization 2.017 μB per formula unit. Number 2: total magnetization 0.000 μB per formula unit. Number 3: total magnetization 7.034 μB per formula unit.